[1]
Compound: ZnTe2
Source: the Alexandria database
Functional: GGA-PBE
Structure: relaxed

abc: 3.9132 3.9132 5.5074
angles: 90.00 90.00 90.00
With the nearest neighbours (Å) after each atom.
Space group P4/mmm (No. 123)
Symmetry-distinct sites (fractional):
Zn 0.0000 0.0000 0.0000  6 Te 2.75-2.77
Te 0.0000 0.0000 0.5000  2 Zn 2.75
Te 0.5000 0.5000 0.0000  4 Zn 2.77

Results
energy relative to the elements, uncorrected	52	kJ/mol of formula units
electronic total energy	-2.34	eV per atom
magnetic moment	0.000	μB per formula unit

[2]
Compound: MgSiO2F
Source: the Alexandria database
Functional: GGA-PBE
Structure: relaxed

abc: 3.5826 3.5826 4.1358
angles: 90.00 90.00 90.00
With the nearest neighbours (Å) after each atom.
Space group P4/mmm (No. 123)
Symmetry-distinct sites (fractional):
Mg 0.0000 0.0000 0.0000  4 F 2.53, 8 O 2.74
Si 0.5000 0.5000 0.5000  4 O 1.79
O 0.0000 0.5000 0.5000  2 Si 1.79
F 0.5000 0.5000 0.0000  2 Si 2.07

Results
energy relative to the elements, uncorrected	-873	kJ/mol of formula units
electronic total energy	-5.57	eV per atom
magnetic moment	0.000	μB per formula unit

[3]
Compound: Be2SbPt
Source: the Alexandria database
Functional: GGA-PBE
Structure: relaxed

abc: 5.3639 8.2624 3.7832
angles: 90.00 129.37 90.00
With the nearest neighbours (Å) after each atom.
Space group C2/m (No. 12)
Symmetry-distinct sites (fractional):
Be 0.2500 0.2500 0.0000  2 Sb 2.46, 2 Pt 2.46, 2 Be 2.68
Sb 0.0000 0.0000 0.0000  4 Be 2.46, 2 Pt 2.68
Pt 0.0000 0.5000 0.0000  4 Be 2.46, 2 Sb 2.68

Results
energy relative to the elements, uncorrected	65	kJ/mol of formula units
electronic total energy	-4.23	eV per atom
magnetic moment	0.000	μB per formula unit

[4]
Compound: SrTl2Fe
Source: the Alexandria database
Functional: GGA-PBE
Structure: relaxed

abc: 4.7969 4.7969 4.6538
angles: 90.00 90.00 90.00
With the nearest neighbours (Å) after each atom.
Space group P4/mmm (No. 123)
Symmetry-distinct sites (fractional):
Sr 0.0000 0.0000 0.0000  8 Tl 3.34, 4 Fe 3.39
Tl 0.0000 0.5000 0.5000  4 Fe 3.34, 4 Sr 3.34, 4 Tl 3.39
Fe 0.5000 0.5000 0.0000  8 Tl 3.34, 4 Sr 3.39

Results
electronic total energy	-3.40	eV per atom
formation enthalpy at 0 K	0.322	eV per atom
magnetic moment	2.852	μB per formula unit

[5]
Compound: Be3CoI
Source: the Alexandria database
Functional: GGA-PBE
Structure: relaxed

abc: 4.2024 4.2024 4.2024
angles: 90.00 90.00 90.00
With the nearest neighbours (Å) after each atom.
Space group Pm-3m (No. 221)
Symmetry-distinct sites (fractional):
Be 0.0000 0.0000 0.5000  2 Co 2.10
Co 0.0000 0.0000 0.0000  6 Be 2.10
I 0.5000 0.5000 0.5000  12 Be 2.97

Results
energy above the most stable polymorph in this dataset	0.000	eV/atom
energy relative to the elements, uncorrected	412	kJ/mol of formula units
electronic total energy	-3.11	eV per atom
magnetic moment	0.000	μB per formula unit

[6]
Compound: CaSbSe3
Source: the Alexandria database
Functional: GGA-PBE
Structure: relaxed

abc: 5.3170 5.3170 5.3170
angles: 90.00 90.00 90.00
With the nearest neighbours (Å) after each atom.
Space group Pm-3m (No. 221)
Symmetry-distinct sites (fractional):
Ca 0.0000 0.0000 0.0000  12 Se 3.76
Sb 0.5000 0.5000 0.5000  6 Se 2.66
Se 0.0000 0.5000 0.5000  2 Sb 2.66

Results
energy above the most stable polymorph in this dataset	0.341	eV/atom
energy relative to the elements, uncorrected	-217	kJ/mol of formula units
electronic total energy	-3.76	eV per atom
magnetic moment	0.000	μB per formula unit

[7]
Compound: LiAl2Pt4
Source: the Alexandria database
Functional: GGA-PBE
Structure: relaxed

abc: 5.9242 5.9242 5.9518
angles: 90.00 90.00 90.00
With the nearest neighbours (Å) after each atom.
Space group I4/mmm (No. 139)
Symmetry-distinct sites (fractional):
Li 0.0000 0.0000 0.0000  8 Pt 2.57
Al 0.0000 0.5000 0.0000  8 Pt 2.57
Pt 0.2500 0.2500 0.2500  2 Li 2.57, 4 Al 2.57

Results
electronic total energy	-5.59	eV per atom
formation enthalpy at 0 K	-0.796	eV per atom
magnetic moment	0.000	μB per formula unit

[8]
Compound: Zr2AgCl2
Source: the Alexandria database
Functional: GGA-PBE
Structure: relaxed

abc: 4.4243 4.4243 11.1351
angles: 90.00 90.00 90.00
With the nearest neighbours (Å) after each atom.
Space group I4/mmm (No. 139)
Symmetry-distinct sites (fractional):
Zr 0.0000 0.5000 0.2500  4 Cl 2.61
Ag 0.0000 0.0000 0.0000  8 Cl 3.43, 8 Zr 3.56
Cl 0.0000 0.0000 0.3744  4 Zr 2.61, 1 Cl 2.80

Results
energy above the most stable polymorph in this dataset	0.000	eV/atom
energy relative to the elements, uncorrected	-165	kJ/mol of formula units
electronic total energy	-5.07	eV per atom
magnetic moment	0.000	μB per formula unit

[9]
Compound: Sm2Al5Ag5
Source: the Alexandria database
Functional: GGA-PBE
Structure: relaxed

abc: 4.2934 5.6676 9.7323
angles: 90.00 90.00 90.00
With the nearest neighbours (Å) after each atom.
Space group Pmmm (No. 47)
Symmetry-distinct sites (fractional):
Sm 0.0000 0.0000 0.0000  6 Al 3.18-3.26, 4 Ag 3.56
Sm 0.0000 0.5000 0.5000  10 Al 3.26-3.56, 8 Ag 3.48
Al 0.0000 0.0000 0.3270  4 Ag 2.66, 2 Al 2.73
Al 0.0000 0.5000 0.1654  6 Ag 2.68-2.72
Al 0.5000 0.0000 0.5000  4 Al 2.73, 4 Ag 2.74
Ag 0.5000 0.2517 0.2592  5 Al 2.66-2.74, 3 Ag 2.81-2.89
Ag 0.5000 0.5000 0.0000  4 Al 2.68, 4 Ag 2.89

Results
energy above the most stable polymorph in this dataset	0.071	eV/atom
electronic total energy	-3.80	eV per atom
formation enthalpy at 0 K	-0.269	eV per atom
magnetic moment	0.000	μB per formula unit

[10]
Compound: MnCo2Si
Source: the Alexandria database
Functional: GGA-PBE
Structure: relaxed

abc: 2.8411 2.8411 5.5983
angles: 90.00 90.00 90.00
With the nearest neighbours (Å) after each atom.
Space group P4/mmm (No. 123)
Symmetry-distinct sites (fractional):
Mn 0.0000 0.0000 0.0000  8 Co 2.50, 2 Si 2.80
Co 0.5000 0.5000 0.2656  4 Si 2.40, 4 Mn 2.50, 1 Co 2.62
Si 0.0000 0.0000 0.5000  8 Co 2.40

Results
energy relative to the elements, uncorrected	-126	kJ/mol of formula units
electronic total energy	-7.53	eV per atom
magnetic moment	5.094	μB per formula unit

[11]
Compound: Cr2NiRh3
Source: the Alexandria database
Functional: GGA-PBE
Structure: relaxed

abc: 5.6197 5.6197 5.6197
angles: 90.00 90.00 90.00
With the nearest neighbours (Å) after each atom.
Space group Pn-3m (No. 224, origin choice 2)
Symmetry-distinct sites (fractional):
Cr 0.0000 0.0000 0.0000  2 Ni 2.43, 6 Rh 2.43
Ni 0.2500 0.2500 0.2500  4 Cr 2.43
Rh 0.2500 0.2500 0.7500  4 Cr 2.43

Results
energy above the most stable polymorph in this dataset	0.193	eV/atom
electronic total energy	-7.55	eV per atom
formation enthalpy at 0 K	0.294	eV per atom
magnetic moment	0.871	μB per formula unit

[12]
Compound: Tm5NbN6
Source: the Alexandria database
Functional: GGA-PBE
Structure: relaxed

abc: 5.7915 10.0158 5.7828
angles: 90.00 109.52 90.00
With the nearest neighbours (Å) after each atom.
Space group C2/m (No. 12)
Symmetry-distinct sites (fractional):
Tm 0.0000 0.0000 0.0000  6 N 2.36-2.44
Tm 0.0000 0.1668 0.5000  6 N 2.36-2.37
Tm 0.0000 0.3337 0.0000  6 N 2.35-2.46
Nb 0.0000 0.5000 0.5000  6 N 2.27-2.28
N 0.2396 0.5000 0.2567  1 Nb 2.28, 5 Tm 2.35-2.44
N 0.2405 0.3400 0.7406  1 Nb 2.27, 5 Tm 2.36-2.46

Results
energy relative to the elements, uncorrected	-1961	kJ/mol of formula units
electronic total energy	-8.56	eV per atom
magnetic moment	0.000	μB per formula unit